RbSc3Tc | PBE | optimized geometry

```
data_RbSc3Tc
_symmetry_space_group_name_H-M 'P m -3 m'
_symmetry_Int_Tables_number 221
_symmetry_space_group_name_Hall '-P 4 2 3'
_cell_length_a 4.907
_cell_length_b 4.907
_cell_length_c 4.907
_cell_angle_alpha 90.00
_cell_angle_beta 90.00
_cell_angle_gamma 90.00
loop_
_atom_site_label
_atom_site_type_symbol
_atom_site_fract_x
_atom_site_fract_y
_atom_site_fract_z
Rb1 Rb 0.000 0.000 0.000
Sc1 Sc 0.000 0.000 0.500
Tc1 Tc 0.500 0.500 0.500
```

- Formation enthalpy at 0 K: 9.45 eV per formula unit
- D(E_F): 5.96 states/eV/cell
- E above lowest polymorph: 7.85 eV/f.u.

---

RbScTc2 | PBE | optimized geometry

```
data_RbScTc2
_symmetry_space_group_name_H-M 'I -4 2 d'
_symmetry_Int_Tables_number 122
_symmetry_space_group_name_Hall 'I -4 2bw'
_cell_length_a 4.430
_cell_length_b 4.430
_cell_length_c 19.598
_cell_angle_alpha 90.00
_cell_angle_beta 90.00
_cell_angle_gamma 90.00
loop_
_atom_site_label
_atom_site_type_symbol
_atom_site_fract_x
_atom_site_fract_y
_atom_site_fract_z
Rb1 Rb 0.000 0.000 0.000
Sc1 Sc 0.000 0.000 0.500
Tc1 Tc 0.129 0.250 0.625
```

- Formation enthalpy at 0 K: 5.30 eV per formula unit
- D(E_F): 14.30 states/eV/cell
- E above lowest polymorph: 0.00 eV/f.u.

---

Rb2ScTc | PBE | optimized geometry

```
data_Rb2ScTc
_symmetry_space_group_name_H-M 'F m -3 m'
_symmetry_Int_Tables_number 225
_symmetry_space_group_name_Hall '-F 4 2 3'
_cell_length_a 8.392
_cell_length_b 8.392
_cell_length_c 8.392
_cell_angle_alpha 90.00
_cell_angle_beta 90.00
_cell_angle_gamma 90.00
loop_
_atom_site_label
_atom_site_type_symbol
_atom_site_fract_x
_atom_site_fract_y
_atom_site_fract_z
Rb1 Rb 0.250 0.250 0.250
Sc1 Sc 0.000 0.000 0.000
Tc1 Tc 0.000 0.000 0.500
```

- Formation enthalpy at 0 K: 6.65 eV per formula unit
- D(E_F): 16.36 states/eV/cell
- E above lowest polymorph: 2.36 eV/f.u.

---

RbScTc | PBE | optimized geometry

```
data_RbScTc
_symmetry_space_group_name_H-M 'P -1'
_symmetry_Int_Tables_number 2
_symmetry_space_group_name_Hall '-P 1'
_cell_length_a 4.030
_cell_length_b 4.221
_cell_length_c 13.280
_cell_angle_alpha 80.87
_cell_angle_beta 89.77
_cell_angle_gamma 90.00
loop_
_atom_site_label
_atom_site_type_symbol
_atom_site_fract_x
_atom_site_fract_y
_atom_site_fract_z
Rb1 Rb 0.245 0.331 0.337
Sc1 Sc 0.251 0.048 0.904
Tc1 Tc 0.249 0.477 0.048
```

- Formation enthalpy at 0 K: 0.67 eV per formula unit
- D(E_F): 3.78 states/eV/cell
- E above lowest polymorph: 0.18 eV/f.u.

---

RbSc3Tc | PBE | optimized geometry

```
data_RbSc3Tc
_symmetry_space_group_name_H-M 'P m -3 m'
_symmetry_Int_Tables_number 221
_symmetry_space_group_name_Hall '-P 4 2 3'
_cell_length_a 5.243
_cell_length_b 5.243
_cell_length_c 5.243
_cell_angle_alpha 90.00
_cell_angle_beta 90.00
_cell_angle_gamma 90.00
loop_
_atom_site_label
_atom_site_type_symbol
_atom_site_fract_x
_atom_site_fract_y
_atom_site_fract_z
Rb1 Rb 0.000 0.000 0.000
Sc1 Sc 0.000 0.500 0.500
Tc1 Tc 0.500 0.500 0.500
```

- Formation enthalpy at 0 K: 1.61 eV per formula unit
- D(E_F): 5.32 states/eV/cell
- E above lowest polymorph: 0.00 eV/f.u.

---

RbScTc | PBE | optimized geometry

```
data_RbScTc
_symmetry_space_group_name_H-M 'P 1'
_symmetry_Int_Tables_number 1
_symmetry_space_group_name_Hall 'P 1'
_cell_length_a 4.210
_cell_length_b 4.210
_cell_length_c 14.432
_cell_angle_alpha 90.39
_cell_angle_beta 97.82
_cell_angle_gamma 119.99
loop_
_atom_site_label
_atom_site_type_symbol
_atom_site_fract_x
_atom_site_fract_y
_atom_site_fract_z
Rb1 Rb 0.000 0.000 0.000
Rb2 Rb 0.446 0.240 0.695
Sc1 Sc 0.493 0.752 0.241
Sc2 Sc 0.635 0.829 0.464
Tc1 Tc 0.218 0.117 0.333
Tc2 Tc 0.910 0.464 0.373
```

- Formation enthalpy at 0 K: 0.50 eV per formula unit
- D(E_F): 3.99 states/eV/cell
- E above lowest polymorph: 0.01 eV/f.u.